(1)
The following is a PBE-GGA calculation of a relaxed structure of PrAl2Fe, from the Alexandria database.

- Space-group type: No. 166
- Total moment: 0.01 μB/cell
- Electronic total energy: -5.4107 eV/atom
- E_form: -22.1 kJ per mole of atoms

```
PrAl2Fe
1.0
2.081 1.202 5.392
-2.081 1.202 5.392
0.000 -2.403 5.392
Pr Al Fe
1 2 1
direct
0.000 0.000 0.000
0.202 0.202 0.202
0.798 0.798 0.798
0.500 0.500 0.500
```

(2)
The following is a PBE-GGA calculation of a relaxed structure of Pa3Ni5S12, from the Alexandria database.

- Space-group type: No. 230
- Total moment: 0.01 μB/cell
- Raw formation energy: -0.95 eV per atom
- Electronic total energy: -6.3007 eV/atom

```
Pa3Ni5S12
1.0
-7.176 7.176 7.176
7.176 -7.176 7.176
7.176 7.176 -7.176
Pa Ni S
12 20 48
direct
0.125 0.250 0.375
0.125 0.375 0.750
0.250 0.375 0.125
0.250 0.875 0.625
0.375 0.125 0.250
0.375 0.750 0.125
0.625 0.250 0.875
0.625 0.875 0.750
0.750 0.125 0.375
0.750 0.625 0.875
0.875 0.625 0.250
0.875 0.750 0.625
0.000 0.000 0.000
0.000 0.000 0.500
0.000 0.500 0.000
0.000 0.500 0.500
0.125 0.750 0.875
0.125 0.875 0.250
0.250 0.125 0.875
0.250 0.625 0.375
0.375 0.250 0.625
0.375 0.625 0.750
0.500 0.000 0.000
0.500 0.000 0.500
0.500 0.500 0.000
0.500 0.500 0.500
0.625 0.375 0.250
0.625 0.750 0.375
0.750 0.375 0.625
0.750 0.875 0.125
0.875 0.125 0.750
0.875 0.250 0.125
0.030 0.206 0.119
0.030 0.324 0.910
0.087 0.706 0.676
0.087 0.881 0.410
0.090 0.619 0.413
0.090 0.970 0.676
0.119 0.030 0.206
0.119 0.590 0.913
0.176 0.206 0.587
0.176 0.470 0.590
0.206 0.119 0.030
0.206 0.587 0.176
0.294 0.324 0.913
0.294 0.470 0.381
0.324 0.910 0.030
0.324 0.913 0.294
0.381 0.294 0.470
0.381 0.587 0.910
0.410 0.087 0.881
0.410 0.824 0.530
0.413 0.090 0.619
0.413 0.824 0.794
0.470 0.381 0.294
0.470 0.590 0.176
0.530 0.410 0.824
0.530 0.619 0.706
0.587 0.176 0.206
0.587 0.910 0.381
0.590 0.176 0.470
0.590 0.913 0.119
0.619 0.413 0.090
0.619 0.706 0.530
0.676 0.087 0.706
0.676 0.090 0.970
0.706 0.530 0.619
0.706 0.676 0.087
0.794 0.413 0.824
0.794 0.881 0.970
0.824 0.530 0.410
0.824 0.794 0.413
0.881 0.410 0.087
0.881 0.970 0.794
0.910 0.030 0.324
0.910 0.381 0.587
0.913 0.119 0.590
0.913 0.294 0.324
0.970 0.676 0.090
0.970 0.794 0.881
```

(3)
The following is a PBE-GGA calculation of a relaxed structure of I2BrCl8, from the Alexandria database.

- Space-group type: No. 12
- Total moment: 0.00 μB/cell
- Raw formation energy: -0.05 eV per atom
- Electronic total energy: -1.8220 eV/atom

```
I2BrCl8
1.0
4.349 -5.897 0.000
4.349 5.897 0.000
-0.460 0.000 9.610
I Br Cl
2 1 8
direct
0.121 0.121 0.279
0.879 0.879 0.721
0.000 0.000 0.000
0.085 0.667 0.723
0.228 0.228 0.515
0.333 0.915 0.277
0.470 0.470 0.899
0.530 0.530 0.101
0.667 0.085 0.723
0.772 0.772 0.485
0.915 0.333 0.277
```

(4)
The following is a PBE-GGA calculation of a relaxed structure of TbHPb, from the Alexandria database.

- Space-group type: No. 12
- Total moment: 0.00 μB/cell
- Excess energy over the best structure of this formula in the dataset: 0.154 eV/atom
- Electronic total energy: -4.2911 eV/atom

```
TbHPb
1.0
3.183 -1.836 0.000
3.183 1.836 0.000
-0.015 0.000 11.120
Tb H Pb
2 2 2
direct
0.166 0.166 0.371
0.834 0.834 0.629
0.167 0.167 0.570
0.833 0.833 0.430
0.496 0.496 0.139
0.504 0.504 0.861
```

(5)
The following is a PBE-GGA calculation of a relaxed structure of ZrMo, from the Alexandria database.

- Space-group type: No. 223
- Total moment: 11.44 μB/cell
- Excess energy over the best structure of this formula in the dataset: 2.562 eV/atom
- Electronic total energy: -7.1691 eV/atom
- E_form: 243.2 kJ per mole of atoms

```
ZrMo
1.0
7.473 0.000 0.000
0.000 7.473 0.000
0.000 0.000 7.473
Zr Mo
6 6
direct
0.000 0.250 0.500
0.000 0.750 0.500
0.250 0.500 0.000
0.500 0.000 0.250
0.500 0.000 0.750
0.750 0.500 0.000
0.000 0.500 0.250
0.000 0.500 0.750
0.250 0.000 0.500
0.500 0.250 0.000
0.500 0.750 0.000
0.750 0.000 0.500
```

(6)
The following is a PBE-GGA calculation of a relaxed structure of AcPm5YEr2, from the Alexandria database.

- Space-group type: No. 36
- Total moment: 0.00 μB/cell
- Electronic total energy: -4.6805 eV/atom
- E_form: 14.2 kJ per mole of atoms

```
AcPm5YEr2
1.0
2.779 -12.099 0.000
2.779 12.099 0.000
0.000 0.000 9.523
Ac Pm Y Er
2 10 2 4
direct
0.102 0.898 0.500
0.898 0.102 0.000
0.025 0.975 0.171
0.106 0.894 0.893
0.189 0.811 0.201
0.241 0.759 0.568
0.491 0.509 0.388
0.509 0.491 0.888
0.759 0.241 0.068
0.811 0.189 0.701
0.894 0.106 0.393
0.975 0.025 0.671
0.265 0.735 0.892
0.735 0.265 0.392
0.326 0.674 0.254
0.388 0.612 0.635
0.612 0.388 0.135
0.674 0.326 0.754
```

(7)
The following is a PBE-GGA calculation of a relaxed structure of Pm2GdTh, from the Alexandria database.

- Space-group type: No. 123
- Total moment: 7.49 μB/cell
- Excess energy over the best structure of this formula in the dataset: 0.000 eV/atom
- Electronic total energy: -7.7115 eV/atom
- E_form: 3.8 kJ per mole of atoms

```
Pm2GdTh
1.0
3.610 0.000 0.000
0.000 3.610 0.000
0.000 0.000 10.264
Pm Gd Th
2 1 1
direct
0.000 0.000 0.241
0.000 0.000 0.759
0.500 0.500 0.500
0.500 0.500 0.000
```

(8)
The following is a PBE-GGA calculation of a relaxed structure of Na5BiTe4, from the Alexandria database.

- Space-group type: No. 71
- Total moment: 0.00 μB/cell
- Raw formation energy: -0.71 eV per atom
- Electronic total energy: -3.0170 eV/atom

```
Na5BiTe4
1.0
-2.399 4.280 8.527
2.399 -4.280 8.527
2.399 4.280 -8.527
Na Bi Te
5 1 4
direct
0.000 0.000 0.000
0.097 0.323 0.774
0.452 0.677 0.774
0.548 0.323 0.226
0.903 0.677 0.226
0.500 0.000 0.500
0.247 0.500 0.747
0.307 0.807 0.500
0.693 0.193 0.500
0.753 0.500 0.253
```

(9)
The following is a PBE-GGA calculation of a relaxed structure of Pr3Nd7Y2, from the Alexandria database.

- Space-group type: No. 10
- Total moment: 0.00 μB/cell
- Excess energy over the best structure of this formula in the dataset: 0.013 eV/atom
- Electronic total energy: -4.9685 eV/atom
- E_form: 8.2 kJ per mole of atoms

```
Pr3Nd7Y2
1.0
6.006 0.000 0.000
0.000 3.650 0.000
-1.105 0.000 19.380
Pr Nd Y
3 7 2
direct
0.000 0.000 0.000
0.278 0.500 0.633
0.722 0.500 0.367
0.187 0.500 0.145
0.244 0.000 0.464
0.311 0.000 0.820
0.500 0.500 0.000
0.689 0.000 0.180
0.756 0.000 0.536
0.813 0.500 0.855
0.212 0.000 0.295
0.788 0.000 0.705
```

(10)
The following is a PBE-GGA calculation of a relaxed structure of Y2Cd2Rh, from the Alexandria database.

- Space-group type: No. 127
- Total moment: 0.00 μB/cell
- Electronic total energy: -4.6278 eV/atom
- E_form: -19.9 kJ per mole of atoms

```
Y2Cd2Rh
1.0
7.268 0.000 0.000
0.000 7.268 0.000
0.000 0.000 4.546
Y Cd Rh
4 4 2
direct
0.175 0.325 0.000
0.325 0.825 0.000
0.675 0.175 0.000
0.825 0.675 0.000
0.135 0.635 0.500
0.365 0.135 0.500
0.635 0.865 0.500
0.865 0.365 0.500
0.000 0.000 0.500
0.500 0.500 0.500
```

(11)
The following is a PBE-GGA calculation of a relaxed structure of CdAu, from the Alexandria database.

- Space-group type: No. 157
- Total moment: 0.00 μB/cell
- Electronic total energy: -2.2784 eV/atom
- E_form: -17.6 kJ per mole of atoms

```
CdAu
1.0
8.270 0.000 0.000
-4.135 7.162 0.000
0.000 0.000 5.911
Cd Au
9 9
direct
0.000 0.000 0.000
0.000 0.314 0.268
0.000 0.648 0.562
0.314 0.000 0.268
0.333 0.667 0.848
0.352 0.352 0.562
0.648 0.000 0.562
0.667 0.333 0.848
0.686 0.686 0.268
0.000 0.000 0.508
0.000 0.312 0.770
0.000 0.643 0.061
0.312 0.000 0.770
0.333 0.667 0.341
0.357 0.357 0.061
0.643 0.000 0.061
0.667 0.333 0.341
0.688 0.688 0.770
```

(12)
The following is a PBE-GGA calculation of a relaxed structure of KBa2Y, from the Alexandria database.

- Space-group type: No. 122
- Total moment: 0.00 μB/cell
- Excess energy over the best structure of this formula in the dataset: 0.387 eV/atom
- Electronic total energy: -2.2619 eV/atom
- E_form: 56.9 kJ per mole of atoms

```
KBa2Y
1.0
-2.747 2.747 13.890
2.747 -2.747 13.890
2.747 2.747 -13.890
K Ba Y
2 4 2
direct
0.000 0.000 0.000
0.750 0.250 0.500
0.132 0.625 0.007
0.375 0.382 0.507
0.618 0.125 0.993
0.875 0.868 0.493
0.250 0.750 0.500
0.500 0.500 0.000
```

(13)
The following is a PBE-GGA calculation of a relaxed structure of FeOs2Pb, from the Alexandria database.

- Space-group type: No. 160
- Total moment: 2.97 μB/cell
- Electronic total energy: -7.9126 eV/atom
- E_form: 71.9 kJ per mole of atoms

```
FeOs2Pb
1.0
1.453 0.839 9.169
-1.453 0.839 9.169
0.000 -1.678 9.169
Fe Os Pb
1 2 1
direct
0.000 0.000 0.000
0.482 0.482 0.482
0.742 0.742 0.742
0.244 0.244 0.244
```

(14)
The following is a PBE-GGA calculation of a relaxed structure of USeF, from the Alexandria database.

- Space-group type: No. 107
- Total moment: 2.80 μB/cell
- Raw formation energy: -1.78 eV per atom
- Electronic total energy: -7.3250 eV/atom

```
USeF
1.0
-1.719 1.719 4.804
1.719 -1.719 4.804
1.719 1.719 -4.804
U Se F
1 1 1
direct
0.000 0.000 0.000
0.324 0.324 0.000
0.609 0.609 0.000
```

(15)
The following is a PBE-GGA calculation of a relaxed structure of BeCO2, from the Alexandria database.

- Space-group type: No. 225
- Total moment: 0.00 μB/cell
- Raw formation energy: 1.04 eV per atom
- Excess energy over the best structure of this formula in the dataset: 1.470 eV/atom
- Electronic total energy: -4.6801 eV/atom

```
BeCO2
1.0
0.000 2.459 2.459
2.459 0.000 2.459
2.459 2.459 0.000
Be C O
1 1 2
direct
0.000 0.000 0.000
0.500 0.500 0.500
0.250 0.250 0.250
0.750 0.750 0.750
```

(16)
The following is a PBE-GGA calculation of a relaxed structure of Cs5Rb4Ag2, from the Alexandria database.

- Space-group type: No. 12
- Total moment: 0.00 μB/cell
- Electronic total energy: -1.1947 eV/atom
- E_form: 6.1 kJ per mole of atoms

```
Cs5Rb4Ag2
1.0
15.784 -2.647 0.000
15.784 2.647 0.000
-0.580 0.000 11.018
Cs Rb Ag
5 4 2
direct
0.000 0.000 0.000
0.298 0.298 0.883
0.393 0.393 0.227
0.607 0.607 0.773
0.702 0.702 0.117
0.193 0.193 0.512
0.438 0.438 0.647
0.562 0.562 0.353
0.807 0.807 0.488
0.274 0.274 0.260
0.726 0.726 0.740
```

(17)
The following is a PBE-GGA calculation of a relaxed structure of HfNiAu3, from the Alexandria database.

- Space-group type: No. 221
- Total moment: 0.00 μB/cell
- Excess energy over the best structure of this formula in the dataset: 0.859 eV/atom
- Electronic total energy: -4.5776 eV/atom
- E_form: 51.7 kJ per mole of atoms

```
HfNiAu3
1.0
4.686 0.000 0.000
0.000 4.686 0.000
0.000 0.000 4.686
Hf Ni Au
1 1 3
direct
0.000 0.000 0.000
0.500 0.500 0.500
0.000 0.500 0.500
0.500 0.000 0.500
0.500 0.500 0.000
```

(18)
The following is a PBE-GGA calculation of a relaxed structure of TaTe2PtN, from the Alexandria database.

- Space-group type: No. 123
- Total moment: 0.00 μB/cell
- Raw formation energy: 0.43 eV per atom
- Excess energy over the best structure of this formula in the dataset: 0.000 eV/atom
- Electronic total energy: -6.0666 eV/atom

```
TaTe2PtN
1.0
5.455 0.000 0.000
0.000 5.455 0.000
0.000 0.000 3.843
Ta Te Pt N
1 2 1 1
direct
0.000 0.000 0.000
0.000 0.500 0.000
0.500 0.000 0.000
0.500 0.500 0.500
0.000 0.000 0.500
```

(19)
The following is a PBE-GGA calculation of a relaxed structure of Er2SnAu2, from the Alexandria database.

- Space-group type: No. 136
- Total moment: 0.00 μB/cell
- Electronic total energy: -4.7879 eV/atom
- E_form: -82.1 kJ per mole of atoms

```
Er2SnAu2
1.0
7.914 0.000 0.000
0.000 7.914 0.000
0.000 0.000 7.389
Er Sn Au
8 4 8
direct
0.156 0.156 0.000
0.182 0.182 0.500
0.318 0.682 0.000
0.344 0.656 0.500
0.656 0.344 0.500
0.682 0.318 0.000
0.818 0.818 0.500
0.844 0.844 0.000
0.000 0.500 0.250
0.000 0.500 0.750
0.500 0.000 0.250
0.500 0.000 0.750
0.128 0.872 0.277
0.128 0.872 0.723
0.372 0.372 0.223
0.372 0.372 0.777
0.628 0.628 0.223
0.628 0.628 0.777
0.872 0.128 0.277
0.872 0.128 0.723
```

(20)
The following is a PBE-GGA calculation of a relaxed structure of EuPtPb, from the Alexandria database.

- Space-group type: No. 107
- Total moment: 7.08 μB/cell
- Electronic total energy: -7.1891 eV/atom
- E_form: -49.7 kJ per mole of atoms

```
EuPtPb
1.0
-1.826 1.826 5.653
1.826 -1.826 5.653
1.826 1.826 -5.653
Eu Pt Pb
1 1 1
direct
0.000 0.000 0.000
0.339 0.339 0.000
0.712 0.712 0.000
```